{
  "formula": "TlInCl2",
  "functional": "PBE",
  "state": "optimized geometry",
  "magnetic_moment_mub_per_cell": 0.00,
  "relative_energy_mev_per_atom": 46,
  "energy_ev_per_cell": -12.3,
  "e_form_raw_ev_per_atom": -0.8630,
  "lattice_angstrom": [[-1.1463, 2.0278, 3.0776], [1.9700, -2.3886, 2.3076], [8.1901, 2.1474, 1.6356]],
  "species": ["Tl", "Cl", "Cl", "In"],
  "fractional_positions": [[0.5000, 0.7500, 0.7500], [0.0000, 0.0000, 0.0014], [0.0000, 0.5000, 0.4986], [0.5000, 0.2500, 0.2500]]
}

=====

{
  "formula": "TlIn2Cl",
  "functional": "PBE",
  "state": "optimized geometry",
  "magnetic_moment_mub_per_cell": 0.00,
  "relative_energy_mev_per_atom": 74,
  "energy_ev_per_cell": -10.8,
  "e_form_raw_ev_per_atom": -0.2793,
  "lattice_angstrom": [[-2.4737, -5.3307, -2.9990], [3.2502, -5.7389, -0.1757], [-1.7983, 4.6526, 4.3184]],
  "species": ["Tl", "Cl", "In", "In"],
  "fractional_positions": [[0.2500, 0.7500, 0.5000], [0.7500, 0.2500, 0.5000], [0.0000, 0.0000, 0.0000], [0.5000, 0.5000, 0.0000]]
}

=====

{
  "formula": "TlInCl",
  "functional": "PBE",
  "state": "optimized geometry",
  "magnetic_moment_mub_per_cell": 0.00,
  "relative_energy_mev_per_atom": 246,
  "energy_ev_per_cell": -7.7,
  "e_form_raw_ev_per_atom": -0.2406,
  "lattice_angstrom": [[-3.3558, 1.7539, 3.6591], [-4.9475, 1.2151, -1.3312], [-3.9819, -3.0516, 1.5996]],
  "species": ["Tl", "Cl", "In"],
  "fractional_positions": [[0.0000, 0.0000, 0.0000], [0.5000, 0.5000, 0.5000], [0.7500, 0.7500, 0.7500]]
}

=====

{
  "formula": "TlIn2Cl",
  "functional": "PBE",
  "state": "optimized geometry",
  "magnetic_moment_mub_per_cell": 0.00,
  "relative_energy_mev_per_atom": 64,
  "energy_ev_per_cell": -10.8,
  "e_form_raw_ev_per_atom": -0.2890,
  "lattice_angstrom": [[-2.6330, 4.1284, -4.3847], [-0.8676, -1.9013, -6.2317], [-1.3428, -0.9292, 6.3667]],
  "species": ["Tl", "Cl", "In", "In"],
  "fractional_positions": [[0.2500, 0.7500, 0.5000], [0.7500, 0.2500, 0.5000], [0.9932, 0.9932, 0.0000], [0.5068, 0.5068, 0.0000]]
}

=====

{
  "formula": "TlInCl",
  "functional": "PBE",
  "state": "optimized geometry",
  "magnetic_moment_mub_per_cell": 0.00,
  "relative_energy_mev_per_atom": 0,
  "energy_ev_per_cell": -16.8,
  "e_form_raw_ev_per_atom": -0.4864,
  "lattice_angstrom": [[3.8398, 0.0727, -0.0103], [-0.1552, 5.6688, -0.0313], [-1.8500, -2.8200, 8.3839]],
  "species": ["Tl", "Tl", "Cl", "Cl", "In", "In"],
  "fractional_positions": [[0.1579, 0.2654, 0.4267], [0.9825, 0.6022, 0.1026], [0.4805, 0.0843, 0.0660], [0.3244, 0.4497, 0.7964], [0.3148, 0.9247, 0.7467], [0.6694, 0.7825, 0.4605]]
}

=====

{
  "formula": "TlInCl2",
  "functional": "PBE",
  "state": "optimized geometry",
  "magnetic_moment_mub_per_cell": 0.00,
  "relative_energy_mev_per_atom": 70,
  "energy_ev_per_cell": -24.3,
  "e_form_raw_ev_per_atom": -0.8384,
  "lattice_angstrom": [[7.2711, 0.0000, 0.0000], [0.0000, 7.2711, 0.0000], [3.6356, 3.6356, 6.8903]],
  "species": ["Tl", "Tl", "Cl", "Cl", "Cl", "Cl", "In", "In"],
  "fractional_positions": [[0.0000, 0.0000, 0.0000], [0.7500, 0.2500, 0.5000], [0.6200, 0.1250, 0.2500], [0.1300, 0.6250, 0.2500], [0.3750, 0.3800, 0.7500], [0.8750, 0.8700, 0.7500], [0.5000, 0.5000, 0.0000], [0.2500, 0.7500, 0.5000]]
}